# 1
# AgHg2F | Alexandria via LeMat-Bulk | GGA-PBE | optimized geometry
# distance to the lowest polymorph of the same formula = 0.28 eV per formula unit
# energy relative to the elements, uncorrected = -0.458 eV/atom
data_AgHg2F
_space_group_name_H-M_alt 'I -4 2 d'
_space_group_IT_number 122
_space_group_name_Hall 'I -4 2bw'
_cell_length_a 7.503
_cell_length_b 7.503
_cell_length_c 5.775
_cell_angle_alpha 90.00
_cell_angle_beta 90.00
_cell_angle_gamma 90.00
loop_
_atom_site_label
_atom_site_type_symbol
_atom_site_fract_x
_atom_site_fract_y
_atom_site_fract_z
Ag1 Ag 0.000 0.000 0.000
Hg1 Hg 0.225 0.250 0.625
F1 F 0.000 0.000 0.500

=====

# 2
# Ag4Hg2F9 | Alexandria via LeMat-Bulk | GGA-PBE | optimized geometry
# energy relative to the elements, uncorrected = -1.179 eV/atom
data_Ag4Hg2F9
_space_group_name_H-M_alt 'C 1 2/c 1'
_space_group_IT_number 15
_cell_length_a 10.417
_cell_length_b 6.156
_cell_length_c 15.792
_cell_angle_alpha 90.00
_cell_angle_beta 90.96
_cell_angle_gamma 90.00
loop_
_space_group_symop_operation_xyz
'x,y,z'
'-x,-y,-z'
'-x,y,-z+1/2'
'x,-y,z+1/2'
'x+1/2,y+1/2,z'
'-x+1/2,-y+1/2,-z'
'-x+1/2,y+1/2,-z+1/2'
'x+1/2,-y+1/2,z+1/2'
loop_
_atom_site_label
_atom_site_type_symbol
_atom_site_fract_x
_atom_site_fract_y
_atom_site_fract_z
Ag1 Ag 0.161 0.011 0.190
Ag2 Ag 0.163 0.002 0.483
Hg1 Hg 0.006 0.492 0.858
F1 F 0.000 0.205 0.750
F2 F 0.002 0.145 0.400
F3 F 0.142 0.309 0.571
F4 F 0.148 0.380 0.253
F5 F 0.194 0.335 0.917

=====

# 3
# Ag4Hg2F3 | Alexandria via LeMat-Bulk | GGA-PBE | optimized geometry
# energy relative to the elements, uncorrected = -0.675 eV/atom
data_Ag4Hg2F3
_space_group_name_H-M_alt 'C 1 2/c 1'
_space_group_IT_number 15
_cell_length_a 12.267
_cell_length_b 10.060
_cell_length_c 5.380
_cell_angle_alpha 90.00
_cell_angle_beta 100.55
_cell_angle_gamma 90.00
loop_
_space_group_symop_operation_xyz
'x,y,z'
'-x,-y,-z'
'-x,y,-z+1/2'
'x,-y,z+1/2'
'x+1/2,y+1/2,z'
'-x+1/2,-y+1/2,-z'
'-x+1/2,y+1/2,-z+1/2'
'x+1/2,-y+1/2,z+1/2'
loop_
_atom_site_label
_atom_site_type_symbol
_atom_site_fract_x
_atom_site_fract_y
_atom_site_fract_z
Ag1 Ag 0.125 0.127 0.097
Ag2 Ag 0.164 0.298 0.647
Hg1 Hg 0.182 0.415 0.160
F1 F 0.000 0.389 0.750
F2 F 0.068 0.106 0.516

=====

# 4
# AgHg6F8 | Alexandria via LeMat-Bulk | GGA-PBE | optimized geometry
# energy relative to the elements, uncorrected = -1.077 eV/atom
data_AgHg6F8
_space_group_name_H-M_alt 'R -3'
_space_group_IT_number 148
_space_group_name_Hall '-R 3'
_cell_length_a 7.5032
_cell_length_b 7.5032
_cell_length_c 15.7926
_cell_angle_alpha 90.00
_cell_angle_beta 90.00
_cell_angle_gamma 120.00
loop_
_atom_site_label
_atom_site_type_symbol
_atom_site_fract_x
_atom_site_fract_y
_atom_site_fract_z
Ag1 Ag 0.0000 0.0000 0.0000
Hg1 Hg 0.0017 0.3376 0.0647
F1 F 0.0000 0.0000 0.3738
F2 F 0.0279 0.2654 0.2095

=====

no.,magnetization (μB/f.u.),energy (eV per atom)
1,0.00,-1.790
2,1.03,-3.103
3,0.00,-2.633
4,0.00,-2.386